(1)
CdNi2Pd2 GGA-PBE relaxed; distance to the lowest polymorph of the same formula = 75 meV per atom; VASP energy = -22.35 eV per cell
1.0
3.360 0.000 0.000
0.000 3.360 0.000
1.680 1.680 6.939
Ni Pd Cd
2 2 1
Cartesian
1.680 3.360 3.470
3.360 1.680 3.470
3.360 3.360 5.449
1.680 1.680 1.490
0.000 0.000 0.000

(2)
HfNp2UAs4 GGA-PBE relaxed; VASP energy = -72.05 eV per cell
1.0
-0.899 3.264 -2.167
-1.728 -4.090 -5.443
-5.620 1.060 3.927
Hf U As Np
1 1 4 2
Cartesian
0.000 0.000 0.000
-1.313 -0.413 -3.805
-2.191 0.913 -1.444
-4.677 -0.189 1.655
-2.671 -2.841 -3.171
-6.055 -0.679 -2.239
-3.259 2.162 0.880
-3.674 -1.515 -0.758

In the order shown, the computed energy relative to the elements values come out to 0.10, -0.79 eV/atom.